1.
First-principles (PBE+U) data for an optimized crystal structure of CsFeTc2O8, as listed in Alexandria via LeMat-Bulk.

Cell lengths 5.853, 5.853, 8.168 Å; angles 90.00, 90.00, 120.00 degrees
Last column: magnetic moment on the atom in μB.
Sites, in units of the cell vectors:
Tc (0.667, 0.333, 0.281)  -0.29
Tc (0.333, 0.667, 0.719)  -0.29
Cs (0.000, 0.000, 0.000)  0.00
O (0.843, 0.664, 0.350)  -0.01
O (0.667, 0.333, 0.067)  -0.04
O (0.179, 0.843, 0.650)  -0.01
O (0.157, 0.336, 0.650)  -0.01
O (0.336, 0.179, 0.350)  -0.01
O (0.664, 0.821, 0.650)  -0.01
O (0.821, 0.157, 0.350)  -0.01
O (0.333, 0.667, 0.933)  -0.04
Fe (0.000, 0.000, 0.500)  3.73

Properties
The total energy is -7.10 eV per atom.


2.
First-principles (PBE+U) data for an optimized crystal structure of CsFeTcO2, as listed in Alexandria via LeMat-Bulk.

Cell lengths 4.311, 6.544, 4.311 Å; angles 90.00, 90.00, 90.00 degrees
Last column: magnetic moment on the atom in μB.
Sites, in units of the cell vectors:
Fe (0.000, 0.500, 0.000)  3.80
O (0.500, 0.000, 0.000)  0.04
O (0.000, 0.000, 0.500)  0.04
Cs (0.000, 0.000, 0.000)  0.01
Tc (0.500, 0.500, 0.500)  3.25

Properties
The total energy is -3.70 eV per atom.


3.
First-principles (PBE+U) data for an optimized crystal structure of CsFeTe2O6, as listed in Alexandria via LeMat-Bulk.

Cell lengths 8.064, 7.988, 7.988 Å; angles 104.44, 72.78, 72.78 degrees
Last column: magnetic moment on the atom in μB.
Sites, in units of the cell vectors:
Te (0.852, 0.544, 0.730)  0.04
Te (0.352, 0.730, 0.544)  0.04
Te (0.648, 0.270, 0.456)  0.04
Te (0.148, 0.456, 0.270)  0.04
O (0.280, 0.257, 0.020)  0.11
O (0.987, 0.672, 0.622)  0.02
O (0.473, 0.205, 0.620)  0.11
O (0.527, 0.795, 0.380)  0.11
O (0.220, 0.980, 0.743)  0.11
O (0.487, 0.622, 0.672)  0.02
O (0.720, 0.743, 0.980)  0.11
O (0.027, 0.380, 0.795)  0.11
O (0.513, 0.378, 0.328)  0.02
O (0.973, 0.620, 0.205)  0.11
O (0.780, 0.020, 0.257)  0.11
O (0.013, 0.328, 0.378)  0.02
Fe (0.250, 0.213, 0.787)  4.26
Fe (0.750, 0.787, 0.213)  4.26
Cs (0.750, 0.105, 0.895)  0.00
Cs (0.250, 0.895, 0.105)  0.00

Properties
The total energy is -5.53 eV per atom.


4.
First-principles (PBE+U) data for an optimized crystal structure of CsTi2FeO6, as listed in Alexandria via LeMat-Bulk.

Cell lengths 6.317, 7.772, 7.772 Å; angles 107.63, 78.82, 78.82 degrees
Last column: magnetic moment on the atom in μB.
Sites, in units of the cell vectors:
Fe (0.250, 0.216, 0.784)  4.24
Fe (0.750, 0.784, 0.216)  4.24
O (0.766, 0.722, 0.957)  0.10
O (0.734, 0.043, 0.278)  0.10
O (0.925, 0.349, 0.401)  0.01
O (0.011, 0.653, 0.251)  0.11
O (0.266, 0.957, 0.722)  0.10
O (0.489, 0.749, 0.347)  0.11
O (0.511, 0.251, 0.653)  0.11
O (0.425, 0.401, 0.349)  0.01
O (0.234, 0.278, 0.043)  0.10
O (0.075, 0.651, 0.599)  0.01
O (0.575, 0.599, 0.651)  0.01
O (0.989, 0.347, 0.749)  0.11
Ti (0.861, 0.560, 0.716)  0.08
Ti (0.361, 0.716, 0.560)  0.08
Ti (0.139, 0.440, 0.284)  0.08
Ti (0.639, 0.284, 0.440)  0.08
Cs (0.250, 0.898, 0.102)  0.00
Cs (0.750, 0.102, 0.898)  0.00

Properties
The total energy is -7.65 eV per atom.


5.
First-principles (PBE+U) data for an optimized crystal structure of Cs2TiFeO4, as listed in Alexandria via LeMat-Bulk.

Cell lengths 5.253, 6.967, 11.195 Å; angles 84.93, 76.43, 67.85 degrees
Last column: magnetic moment on the atom in μB.
Sites, in units of the cell vectors:
O (0.513, 0.337, 0.588)  0.04
O (0.437, 0.663, 0.412)  0.04
O (0.851, 0.837, 0.912)  0.04
O (0.313, 0.837, 0.088)  0.04
O (0.150, 0.337, 0.412)  0.04
O (0.899, 0.663, 0.588)  0.04
O (0.600, 0.163, 0.088)  0.04
O (0.237, 0.163, 0.912)  0.04
Cs (0.172, 0.000, 0.656)  0.00
Cs (0.828, 0.000, 0.344)  0.00
Cs (0.578, 0.500, 0.844)  0.00
Cs (0.922, 0.500, 0.156)  0.00
Fe (0.000, 0.000, 0.000)  3.67
Fe (0.750, 0.500, 0.500)  3.67
Ti (0.500, 0.000, 0.000)  0.01
Ti (0.250, 0.500, 0.500)  0.01

Properties
The total energy is -6.41 eV per atom.


6.
First-principles (PBE+U) data for an optimized crystal structure of CsTmFeO3, as listed in Alexandria via LeMat-Bulk.

Cell lengths 3.575, 9.529, 7.288 Å; angles 111.22, 90.00, 90.00 degrees
Last column: magnetic moment on the atom in μB.
Sites, in units of the cell vectors:
Fe (0.750, 0.934, 0.338)  3.70
Fe (0.250, 0.066, 0.662)  3.70
O (0.250, 0.865, 0.433)  0.12
O (0.750, 0.135, 0.567)  0.12
O (0.750, 0.515, 0.174)  0.00
O (0.750, 0.782, 0.080)  0.05
O (0.250, 0.485, 0.826)  0.00
O (0.250, 0.218, 0.920)  0.05
Tm (0.250, 0.652, 0.127)  0.00
Tm (0.750, 0.348, 0.873)  0.00
Cs (0.750, 0.708, 0.668)  0.00
Cs (0.250, 0.292, 0.332)  0.00

Properties
The total energy is -6.53 eV per atom.


7.
First-principles (PBE+U) data for an optimized crystal structure of Cs2TmFeO4, as listed in Alexandria via LeMat-Bulk.

Cell lengths 5.618, 7.077, 11.855 Å; angles 84.60, 76.29, 66.61 degrees
Last column: magnetic moment on the atom in μB.
Sites, in units of the cell vectors:
Cs (0.929, 0.500, 0.142)  0.00
Cs (0.571, 0.500, 0.858)  0.00
Cs (0.179, 0.000, 0.642)  0.00
Cs (0.821, 0.000, 0.358)  0.00
Tm (0.750, 0.500, 0.500)  0.03
Tm (0.000, 0.000, 0.000)  0.03
O (0.229, 0.168, 0.918)  0.15
O (0.147, 0.332, 0.418)  0.15
O (0.315, 0.832, 0.082)  0.15
O (0.897, 0.668, 0.582)  0.15
O (0.603, 0.168, 0.082)  0.15
O (0.521, 0.332, 0.582)  0.15
O (0.435, 0.668, 0.418)  0.15
O (0.853, 0.832, 0.918)  0.15
Fe (0.250, 0.500, 0.500)  4.17
Fe (0.500, 0.000, 0.000)  4.17

Properties
The total energy is -5.83 eV per atom.


8.
First-principles (PBE+U) data for an optimized crystal structure of CsUFeO6, as listed in Alexandria via LeMat-Bulk.

Cell lengths 7.211, 7.927, 7.526 Å; angles 121.78, 118.62, 90.00 degrees
Last column: magnetic moment on the atom in μB.
Sites, in units of the cell vectors:
O (0.802, 0.052, 0.605)  -0.21
O (0.177, 0.306, 0.756)  -0.12
O (0.421, 0.694, 0.244)  -0.12
O (0.578, 0.328, 0.156)  -0.10
O (0.579, 0.950, 0.756)  -0.12
O (0.823, 0.050, 0.244)  -0.12
O (0.177, 0.950, 0.756)  -0.12
O (0.579, 0.306, 0.756)  -0.12
O (0.198, 0.948, 0.395)  -0.21
O (0.422, 0.672, 0.844)  -0.10
O (0.823, 0.694, 0.244)  -0.12
O (0.421, 0.050, 0.244)  -0.12
Cs (0.888, 0.638, 0.777)  0.00
Cs (0.112, 0.362, 0.223)  0.00
U (0.500, 0.000, 0.000)  0.07
U (0.500, 0.500, 0.000)  0.07
Fe (0.000, 0.000, 0.500)  3.95
Fe (0.500, 0.000, 0.500)  3.95

Properties
The total energy is -7.25 eV per atom.